## i
A plane-wave DFT calculation with PBE-GGA was carried out for a geometry-optimized Ca2YTa structure.

The structure in extended XYZ format:
```
4
Lattice="4.734 0.000 0.000 0.000 4.734 0.000 0.000 0.000 5.218" Properties=species:S:1:pos:R:3 pbc="T T T"
Ca 0.000 2.367 0.000
Ca 2.367 0.000 0.000
Y 0.000 0.000 2.609
Ta 2.367 2.367 2.609
```

Values from the calculation:
DOS(E_F) = 5.66 states/eV/cell
crystal system = tetragonal
spin magnetization = 0.4620 μB/atom

## ii
A plane-wave DFT calculation with PBE-GGA was carried out for a geometry-optimized Ca2YTa structure.

The structure in extended XYZ format:
```
4
Lattice="5.956 -1.665 0.000 5.956 1.665 0.000 -1.072 0.000 5.785" Properties=species:S:1:pos:R:3 pbc="T T T"
Ca 2.551 0.000 1.337
Ca 8.289 0.000 4.448
Y -0.536 0.000 2.892
Ta 5.956 0.000 0.000
```

Values from the calculation:
DOS(E_F) = 6.00 states/eV/cell
crystal system = monoclinic
spin magnetization = 0.0004 μB/atom

Relative energies with respect to the most stable structure, expressed in eV/atom: i 0.082; ii 0.000.

## i
A plane-wave DFT calculation with PBE-GGA was carried out for a geometry-optimized CaYTa3 structure.

The structure in extended XYZ format:
```
5
Lattice="4.894 0.000 0.000 0.000 4.894 0.000 0.000 0.000 4.894" Properties=species:S:1:pos:R:3 pbc="T T T"
Ca 0.000 0.000 0.000
Y 2.447 2.447 2.447
Ta 0.000 0.000 2.447
Ta 0.000 2.447 0.000
Ta 2.447 0.000 0.000
```

Values from the calculation:
DOS(E_F) = 8.28 states/eV/cell
crystal system = cubic
spin magnetization = 0.0000 μB/atom

## ii
A plane-wave DFT calculation with PBE-GGA was carried out for a geometry-optimized CaYTa3 structure.

The structure in extended XYZ format:
```
5
Lattice="5.078 0.000 0.000 0.000 5.078 0.000 0.000 0.000 5.078" Properties=species:S:1:pos:R:3 pbc="T T T"
Ca 0.000 0.000 0.000
Y 2.539 2.539 2.539
Ta 0.000 2.539 2.539
Ta 2.539 0.000 2.539
Ta 2.539 2.539 0.000
```

Values from the calculation:
DOS(E_F) = 7.57 states/eV/cell
crystal system = cubic
spin magnetization = 0.0000 μB/atom

Relative energies with respect to the most stable structure, expressed in eV/atom: i 0.101; ii 0.000.

## i
A plane-wave DFT calculation with PBE-GGA was carried out for a geometry-optimized CaTaZn structure.

The structure in extended XYZ format:
```
3
Lattice="0.000 3.295 3.295 3.295 0.000 3.295 3.295 3.295 0.000" Properties=species:S:1:pos:R:3 pbc="T T T"
Ca 0.000 0.000 0.000
Ta 3.295 3.295 3.295
Zn 4.942 4.942 4.942
```

Values from the calculation:
DOS(E_F) = 3.41 states/eV/cell
crystal system = cubic
spin magnetization = 0.3791 μB/atom

## ii
A plane-wave DFT calculation with PBE-GGA was carried out for a geometry-optimized CaTaZn structure.

The structure in extended XYZ format:
```
3
Lattice="3.095 0.000 0.000 -1.547 2.680 0.000 0.000 0.000 7.620" Properties=species:S:1:pos:R:3 pbc="T T T"
Ca 0.000 0.000 0.000
Ta 0.000 1.787 2.746
Zn 1.547 0.893 4.986
```

Values from the calculation:
DOS(E_F) = 3.58 states/eV/cell
crystal system = trigonal
spin magnetization = 0.0001 μB/atom

## iii
A plane-wave DFT calculation with PBE-GGA was carried out for a geometry-optimized CaTaZn structure.

The structure in extended XYZ format:
```
3
Lattice="-1.535 1.535 6.623 1.535 -1.535 6.623 1.535 1.535 -6.623" Properties=species:S:1:pos:R:3 pbc="T T T"
Ca 0.000 0.000 0.000
Ta 0.000 0.000 4.060
Zn 0.000 0.000 8.925
```

Values from the calculation:
DOS(E_F) = 3.36 states/eV/cell
crystal system = tetragonal
spin magnetization = 0.0000 μB/atom

Relative energies with respect to the most stable structure, expressed in eV/atom: i 0.596; ii 0.152; iii 0.000.

## i
A plane-wave DFT calculation with PBE-GGA was carried out for a geometry-optimized CaZrTa2 structure.

The structure in extended XYZ format:
```
4
Lattice="2.961 0.000 0.000 0.000 4.892 0.000 -1.150 0.000 6.319" Properties=species:S:1:pos:R:3 pbc="T T T"
Ca 0.000 0.000 0.000
Zr -0.575 0.000 3.159
Ta 0.525 2.446 4.435
Ta 1.286 2.446 1.883
```

Values from the calculation:
DOS(E_F) = 5.13 states/eV/cell
crystal system = monoclinic
spin magnetization = 0.0000 μB/atom

## ii
A plane-wave DFT calculation with PBE-GGA was carried out for a geometry-optimized CaZrTa2 structure.

The structure in extended XYZ format:
```
4
Lattice="3.449 0.000 0.000 0.000 3.449 0.000 0.000 0.000 8.109" Properties=species:S:1:pos:R:3 pbc="T T T"
Ca 0.000 0.000 0.000
Zr 1.725 1.725 5.338
Ta 0.000 0.000 3.658
Ta 1.725 1.725 2.334
```

Values from the calculation:
DOS(E_F) = 4.99 states/eV/cell
crystal system = tetragonal
spin magnetization = 0.0002 μB/atom

Relative energies with respect to the most stable structure, expressed in eV/atom: i 0.194; ii 0.000.

## i
A plane-wave DFT calculation with PBE-GGA was carried out for a geometry-optimized CaZrTa2 structure.

The structure in extended XYZ format:
```
4
Lattice="2.972 0.000 0.000 0.000 2.972 0.000 0.000 0.000 10.254" Properties=species:S:1:pos:R:3 pbc="T T T"
Ca 0.000 0.000 0.000
Zr 1.486 1.486 7.178
Ta 0.000 0.000 4.945
Ta 1.486 1.486 2.763
```

Values from the calculation:
DOS(E_F) = 4.92 states/eV/cell
crystal system = tetragonal
spin magnetization = 0.0000 μB/atom

## ii
A plane-wave DFT calculation with PBE-GGA was carried out for a geometry-optimized CaZrTa2 structure.

The structure in extended XYZ format:
```
4
Lattice="4.891 -1.493 0.000 4.891 1.493 0.000 -0.363 0.000 6.264" Properties=species:S:1:pos:R:3 pbc="T T T"
Ca 0.000 0.000 0.000
Zr 2.069 0.000 4.367
Ta 4.690 0.000 2.992
Ta 7.297 0.000 1.823
```

Values from the calculation:
DOS(E_F) = 4.81 states/eV/cell
crystal system = monoclinic
spin magnetization = 0.0000 μB/atom

## iii
A plane-wave DFT calculation with PBE-GGA was carried out for a geometry-optimized CaZrTa2 structure.

The structure in extended XYZ format:
```
4
Lattice="3.032 0.000 0.000 0.000 4.735 0.000 -1.455 0.000 6.413" Properties=species:S:1:pos:R:3 pbc="T T T"
Ca 0.000 0.000 0.000
Zr -0.175 2.367 4.360
Ta 1.055 0.000 3.067
Ta 1.807 2.367 1.816
```

Values from the calculation:
DOS(E_F) = 3.44 states/eV/cell
crystal system = monoclinic
spin magnetization = 0.0000 μB/atom

Relative energies with respect to the most stable structure, expressed in eV/atom: i 0.000; ii 0.066; iii 0.007.

## i
A plane-wave DFT calculation with PBE-GGA was carried out for a geometry-optimized CaZrTa2 structure.

The structure in extended XYZ format:
```
4
Lattice="1.557 0.899 10.563 -1.557 0.899 10.563 0.000 -1.798 10.563" Properties=species:S:1:pos:R:3 pbc="T T T"
Ca 0.000 0.000 0.000
Zr 0.000 0.000 15.844
Ta 0.000 0.000 7.756
Ta 0.000 0.000 23.932
```

Values from the calculation:
DOS(E_F) = 5.27 states/eV/cell
crystal system = trigonal
spin magnetization = 0.0000 μB/atom

## ii
A plane-wave DFT calculation with PBE-GGA was carried out for a geometry-optimized CaZrTa2 structure.

The structure in extended XYZ format:
```
4
Lattice="4.074 -2.355 0.000 4.074 2.355 0.000 -2.720 0.000 4.849" Properties=species:S:1:pos:R:3 pbc="T T T"
Ca 0.000 0.000 0.000
Zr 5.432 0.000 1.616
Ta -0.006 0.000 3.247
Ta 2.714 0.000 2.832
```

Values from the calculation:
DOS(E_F) = 2.43 states/eV/cell
crystal system = monoclinic
spin magnetization = 0.0000 μB/atom

## iii
A plane-wave DFT calculation with PBE-GGA was carried out for a geometry-optimized CaZrTa2 structure.

The structure in extended XYZ format:
```
4
Lattice="2.937 0.000 0.000 0.000 2.937 0.000 0.000 0.000 10.255" Properties=species:S:1:pos:R:3 pbc="T T T"
Ca 0.000 0.000 0.000
Zr 0.000 0.000 5.128
Ta 1.468 1.468 2.789
Ta 1.468 1.468 7.467
```

Values from the calculation:
DOS(E_F) = 3.21 states/eV/cell
crystal system = tetragonal
spin magnetization = 0.0000 μB/atom

Relative energies with respect to the most stable structure, expressed in eV/atom: i 0.059; ii 0.018; iii 0.000.